Record 1
Compound: Ac5Pr2Nd
Source: the Alexandria database
Functional: PBE
Structure: relaxed

abc: 5.546 7.729 15.462
angles: 90.00 90.00 90.00
Fractional positions:
Ac1 0.000 0.000 0.000
Ac2 0.000 0.500 0.500
Ac3 0.000 0.509 0.753
Ac4 0.000 0.491 0.247
Ac5 0.000 0.991 0.253
Ac6 0.000 0.009 0.747
Ac7 0.500 0.258 0.878
Ac8 0.500 0.742 0.122
Ac9 0.500 0.242 0.378
Ac10 0.500 0.758 0.622
Pr1 0.500 0.256 0.624
Pr2 0.500 0.744 0.376
Pr3 0.500 0.244 0.124
Pr4 0.500 0.756 0.876
Nd1 0.000 0.000 0.500
Nd2 0.000 0.500 0.000

Energy above the most stable polymorph in this dataset ... 0 meV per atom
SG ... Pbam (55)
Calculated density ... 7.82 g cm⁻³
Formation enthalpy at 0 K ... 0.196 eV per formula unit
Electronic total energy ... -4.334 eV per atom

Record 2
Compound: Ac2Pr5Nd
Source: the Alexandria database
Functional: PBE
Structure: relaxed

abc: 5.365 5.365 11.258
angles: 103.78 103.78 90.00
Fractional positions:
Ac1 0.750 0.750 0.500
Ac2 0.250 0.250 0.500
Pr1 0.500 0.500 0.000
Pr2 0.380 0.880 0.759
Pr3 0.880 0.380 0.759
Pr4 0.620 0.120 0.241
Pr5 0.120 0.620 0.241
Nd1 0.000 0.000 0.000

SG ... I4/mmm (139)
Calculated density ... 7.09 g cm⁻³
Formation enthalpy at 0 K ... 0.163 eV per formula unit
Electronic total energy ... -4.590 eV per atom

Record 3
Compound: Ac3Pr2Nd8
Source: the Alexandria database
Functional: PBE
Structure: relaxed

abc: 3.688 12.087 22.240
angles: 90.00 90.00 90.00
Fractional positions:
Ac1 0.000 0.000 0.000
Ac2 0.000 0.500 0.500
Ac3 0.000 0.639 0.201
Ac4 0.000 0.361 0.799
Ac5 0.000 0.139 0.299
Ac6 0.000 0.861 0.701
Pr1 0.500 0.823 0.102
Pr2 0.500 0.177 0.898
Pr3 0.500 0.323 0.398
Pr4 0.500 0.677 0.602
Nd1 0.000 0.709 0.945
Nd2 0.000 0.291 0.055
Nd3 0.000 0.209 0.555
Nd4 0.000 0.791 0.445
Nd5 0.000 0.060 0.157
Nd6 0.000 0.940 0.843
Nd7 0.000 0.560 0.343
Nd8 0.000 0.440 0.657
Nd9 0.500 0.862 0.289
Nd10 0.500 0.138 0.711
Nd11 0.500 0.362 0.211
Nd12 0.500 0.638 0.789
Nd13 0.500 0.546 0.069
Nd14 0.500 0.454 0.931
Nd15 0.500 0.046 0.431
Nd16 0.500 0.954 0.569

Energy above the most stable polymorph in this dataset ... 0 meV per atom
SG ... Pbam (55)
Calculated density ... 7.09 g cm⁻³
Formation enthalpy at 0 K ... 2.111 eV per formula unit
Electronic total energy ... -4.455 eV per atom

- Among the records above, which one has the lowest formation enthalpy at 0 K?
  Ac2Pr5Nd

- Number 2 is which compound?
  Ac2Pr5Nd

- Which formula does entry 3 have?
  Ac3Pr2Nd8

- formation enthalpy at 0 K of number 1 (Ac5Pr2Nd)?
  0.196 eV per formula unit